1.
The following is a PBE calculation of an optimized crystal structure of TlZnRhN2, from Alexandria via LeMat-Bulk.

The structure belongs to space group P4/mmm (No. 123); the cell edges are 3.927, 3.927 and 5.081 Å and the angles 90.00°, 90.00° and 90.00°. Symmetry generates all atoms from Tl at (0.000, 0.000, 0.000), Zn at (0.500, 0.500, 0.500), Rh at (0.500, 0.500, 0.000) and N at (0.000, 0.500, 0.500).

The calculation puts the total magnetic moment at 2.7 μB/cell. The formation energy without anion corrections is 1.4591 eV/atom. As for the final energy: -4.069 eV/atom.



2.
The following is a PBE calculation of an optimized crystal structure of Tm2RhN, from Alexandria via LeMat-Bulk.

The structure belongs to space group R-3m (No. 166, hexagonal axes); the cell edges are 3.3758, 3.3758 and 20.7417 Å and the angles 90.00°, 90.00° and 120.00°. Symmetry generates all atoms from Tm at (0.0000, 0.0000, 0.2336), Rh at (0.0000, 0.0000, 0.0000) and N at (0.0000, 0.0000, 0.5000).

The calculation puts the total magnetic moment at 0.0 μB/cell. The formation energy without anion corrections is -1.1252 eV/atom. As for the final energy: -7.280 eV/atom.



3.
The following is a PBE calculation of an optimized crystal structure of TmRhN, from Alexandria via LeMat-Bulk.

The structure belongs to space group P-6m2 (No. 187); the cell edges are 4.5626, 4.5626 and 3.8193 Å and the angles 90.00°, 90.00° and 120.00°. Symmetry generates all atoms from Tm at (0.0000, 0.0000, 0.0000), Rh at (0.3333, 0.6667, 0.0000) and N at (0.3333, 0.6667, 0.5000).

The calculation puts the total magnetic moment at 0.1 μB/cell. The formation energy without anion corrections is 0.1650 eV/atom. As for the final energy: -6.551 eV/atom.



4.
The following is a PBE calculation of an optimized crystal structure of Tm6Rh2N, from Alexandria via LeMat-Bulk.

The structure belongs to space group P2_1/c (No. 14); the cell edges are 6.367, 6.921 and 11.079 Å and the angles 90.00°, 124.08° and 90.00°. Symmetry generates all atoms from Tm at (0.134, 0.037, 0.244), Tm at (0.234, 0.694, 0.058), Tm at (0.363, 0.176, 0.055), Rh at (0.285, 0.090, 0.753) and N at (0.000, 0.000, 0.000).

The calculation puts the total magnetic moment at 0.0 μB/cell. The formation energy without anion corrections is -0.8698 eV/atom. As for the final energy: -6.410 eV/atom.